Computed, not measured: LaSm2GeN4 after structural relaxation at the GGA-PBE level of DFT.

The structure in extended XYZ format:
```
16
Lattice="1.811 -5.866 0.000 1.811 5.866 0.000 0.000 0.000 11.934" Properties=species:S:1:pos:R:3 pbc="T T T"
La 1.811 4.713 8.950
La 1.811 -4.713 2.983
Sm 1.811 1.534 6.494
Sm 1.811 1.534 11.406
Sm 1.811 -1.534 0.527
Sm 1.811 -1.534 5.440
Ge 1.811 3.917 2.983
Ge 1.811 -3.917 8.950
N 0.000 0.000 0.000
N 0.000 0.000 5.967
N 1.811 2.686 1.543
N 1.811 2.686 4.424
N 1.811 0.969 8.950
N 1.811 -0.969 2.983
N 1.811 -2.686 7.509
N 1.811 -2.686 10.391
```

Values from the calculation:
Volume in Å³ per cell: 253.5
Uncorrected formation energy in eV per atom: -1.010
ρ in g/cm³: 7.44
SG: Cmcm, No. 63



Computed, not measured: LaSmGeN after structural relaxation at the GGA-PBE level of DFT.

The structure in extended XYZ format:
```
8
Lattice="4.671 0.000 0.000 0.000 4.671 0.000 0.000 0.000 8.926" Properties=species:S:1:pos:R:3 pbc="T T T"
La 1.168 3.503 0.000
La 3.503 1.168 0.000
Sm 1.168 1.168 3.081
Sm 3.503 3.503 5.845
Ge 1.168 1.168 6.183
Ge 3.503 3.503 2.743
N 1.168 1.168 0.847
N 3.503 3.503 8.080
```

Values from the calculation:
Volume in Å³ per cell: 194.7
Uncorrected formation energy in eV per atom: -0.912
ρ in g/cm³: 6.41
SG: P4/nmm, No. 129



Computed, not measured: La4SnGeN after structural relaxation at the GGA-PBE level of DFT.

The structure in extended XYZ format:
```
14
Lattice="3.456 -8.528 0.000 3.456 8.528 0.000 0.000 0.000 6.946" Properties=species:S:1:pos:R:3 pbc="T T T"
La 1.728 4.264 0.000
La 1.728 4.264 3.473
La 3.456 7.402 5.210
La 3.456 1.436 5.210
La 1.728 -4.264 0.000
La 1.728 -4.264 3.473
La 3.456 -1.436 1.737
La 3.456 -7.402 1.737
Sn 3.456 1.869 1.737
Sn 3.456 -1.869 5.210
Ge 3.456 6.567 1.737
Ge 3.456 -6.567 5.210
N 3.456 3.855 5.210
N 3.456 -3.855 1.737
```

Values from the calculation:
Volume in Å³ per cell: 409.4
Uncorrected formation energy in eV per atom: -0.898
ρ in g/cm³: 6.17
SG: Cmcm, No. 63



Computed, not measured: SrLa2GeN4 after structural relaxation at the GGA-PBE level of DFT.

The structure in extended XYZ format:
```
16
Lattice="1.800 -6.243 0.000 1.800 6.243 0.000 0.000 0.000 12.395" Properties=species:S:1:pos:R:3 pbc="T T T"
Sr 1.800 5.060 9.296
Sr 1.800 -5.060 3.099
La 1.800 1.623 6.707
La 1.800 1.623 11.886
La 1.800 -1.623 0.509
La 1.800 -1.623 5.688
Ge 1.800 3.967 3.099
Ge 1.800 -3.967 9.296
N 0.000 0.000 0.000
N 0.000 0.000 6.197
N 1.800 2.927 1.578
N 1.800 2.927 4.619
N 1.800 1.111 9.296
N 1.800 -1.111 3.099
N 1.800 -2.927 7.776
N 1.800 -2.927 10.817
```

Values from the calculation:
Volume in Å³ per cell: 278.6
Uncorrected formation energy in eV per atom: -0.872
ρ in g/cm³: 5.89
SG: Cmcm, No. 63